No. 1
Material: YRh2W
Method: DFT, PBEsol
State: relaxed

Properties
relative energy among the computed polymorphs	103.7	kJ/mol of formula units
calculated volume	69	Å³/cell
ΔH_f (0 K)	0.002	eV/atom

Cell: 3.286 3.286 6.372 Å, 90.00 90.00 90.00°
Sites, in units of the cell vectors:
Y1 0.500 0.500 0.772
W1 0.000 0.000 0.439
Rh1 0.500 0.500 0.270
Rh2 0.000 0.000 0.020

---

No. 2
Material: ZnRh2W
Method: DFT, PBEsol
State: relaxed

Properties
calculated volume	55	Å³/cell
ΔH_f (0 K)	-0.333	eV/atom

Cell: 2.797 2.797 7.049 Å, 90.00 90.00 90.00°
Sites, in units of the cell vectors:
Zn1 0.500 0.500 0.500
Rh1 0.000 0.000 0.743
W1 0.500 0.500 0.000
Rh2 0.000 0.000 0.257

---

No. 3
Material: ZnRhW2
Method: DFT, PBEsol
State: relaxed

Properties
calculated volume	58	Å³/cell
ΔH_f (0 K)	0.114	eV/atom

Cell: 3.227 4.151 4.335 Å, 90.00 90.00 90.00°
Sites, in units of the cell vectors:
Rh1 0.000 0.500 0.500
W1 0.500 0.500 0.000
Zn1 0.500 0.000 0.500
W2 0.000 0.000 0.000

---

No. 4
Material: ZnRhW2
Method: DFT, PBEsol
State: relaxed

Properties
calculated volume	58	Å³/cell
ΔH_f (0 K)	-0.007	eV/atom

Cell: 2.736 2.736 7.773 Å, 90.00 90.00 90.06°
Sites, in units of the cell vectors:
Rh1 0.500 0.500 0.254
Zn1 0.000 0.000 0.484
W1 0.000 0.000 0.022
W2 0.500 0.500 0.739

---

No. 5
Material: ZnRhW2
Method: DFT, PBEsol
State: relaxed

Properties
calculated volume	58	Å³/cell
ΔH_f (0 K)	0.080	eV/atom

Cell: 2.717 3.859 5.556 Å, 90.00 90.00 90.00°
Sites, in units of the cell vectors:
W1 0.000 0.000 0.997
Zn1 0.000 0.000 0.510
W2 0.500 0.500 0.260
Rh1 0.500 0.500 0.733

---

No. 6
Material: Zn3RhW
Method: DFT, PBEsol
State: relaxed

Properties
calculated volume	93	Å³/cell
ΔH_f (0 K)	1.278	eV/atom

Cell: 4.533 4.533 4.533 Å, 90.00 90.00 90.00°
Last column: magnetic moment on the atom in μB.
Sites, in units of the cell vectors:
Rh1 0.000 0.000 0.000  0.26
Zn1 0.500 0.000 0.000  -0.04
Zn2 0.000 0.500 0.000  -0.04
W1 0.500 0.500 0.500  2.43
Zn3 0.000 0.000 0.500  -0.04

---

No. 7
Material: ZnRh2W
Method: DFT, PBEsol
State: relaxed

Properties
calculated volume	56	Å³/cell
ΔH_f (0 K)	-0.248	eV/atom

Cell: 2.769 3.604 5.565 Å, 90.00 90.00 90.00°
Sites, in units of the cell vectors:
Rh1 0.000 0.000 0.748
Zn1 0.500 0.500 0.500
Rh2 0.000 0.000 0.252
W1 0.500 0.500 0.000

---

No. 8
Material: ZnRhW2
Method: DFT, PBEsol
State: relaxed

Properties
calculated volume	58	Å³/cell
ΔH_f (0 K)	0.043	eV/atom

Cell: 3.175 4.162 5.102 Å, 114.07 108.13 90.00°
Sites, in units of the cell vectors:
Rh1 0.000 0.500 0.000
W1 0.251 0.251 0.503
Zn1 0.500 0.000 0.000
W2 0.749 0.749 0.497

---

No. 9
Material: ZrRhW2
Method: DFT, PBEsol
State: relaxed

Properties
relative energy among the computed polymorphs	13.0	kJ/mol of formula units
calculated volume	65	Å³/cell
ΔH_f (0 K)	0.010	eV/atom

Cell: 2.771 2.771 8.517 Å, 90.00 90.00 90.00°
Sites, in units of the cell vectors:
W1 0.000 0.000 0.978
W2 0.500 0.500 0.236
Rh1 0.500 0.500 0.768
Zr1 0.000 0.000 0.518

---

No. 10
Material: ZrRhW
Method: DFT, PBEsol
State: relaxed

Properties
calculated volume	50	Å³/cell
ΔH_f (0 K)	-0.034	eV/atom

Cell: 3.243 3.243 5.307 Å, 107.79 107.79 90.00°
Sites, in units of the cell vectors:
Zr1 0.335 0.335 0.670
W1 0.657 0.657 0.315
Rh1 0.008 0.008 0.016

---

No. 11
Material: ZrRhW2
Method: DFT, PBEsol
State: relaxed

Properties
relative energy among the computed polymorphs	50.0	kJ/mol of formula units
calculated volume	66	Å³/cell
ΔH_f (0 K)	0.106	eV/atom

Cell: 2.772 4.920 5.102 Å, 99.05 90.00 106.36°
Sites, in units of the cell vectors:
W1 0.737 0.475 0.215
W2 0.979 0.958 0.026
Rh1 0.266 0.532 0.721
Zr1 0.518 0.035 0.539

---

No. 12
Material: ZrRhW2
Method: DFT, PBEsol
State: relaxed

Properties
relative energy among the computed polymorphs	0.4	kJ/mol of formula units
calculated volume	66	Å³/cell
ΔH_f (0 K)	-0.022	eV/atom

Cell: 3.311 4.323 5.325 Å, 113.95 108.12 90.00°
Sites, in units of the cell vectors:
W1 0.248 0.248 0.497
Rh1 0.000 0.500 0.000
W2 0.752 0.752 0.503
Zr1 0.500 0.000 0.000

---

No. 13
Material: ZrRhW2
Method: DFT, PBEsol
State: relaxed

Properties
relative energy among the computed polymorphs	0.0	kJ/mol of formula units
calculated volume	65	Å³/cell
ΔH_f (0 K)	-0.023	eV/atom

Cell: 2.775 2.775 8.770 Å, 90.00 90.00 106.38°
Sites, in units of the cell vectors:
W1 0.500 0.500 0.764
W2 0.000 0.000 0.010
Rh1 0.500 0.500 0.237
Zr1 0.000 0.000 0.490

---

No. 14
Material: Y5Rh3
Method: DFT, PBEsol
State: relaxed

Properties
relative energy among the computed polymorphs	21.9	kJ/mol of formula units
calculated volume	357	Å³/cell
ΔH_f (0 K)	-0.661	eV/atom

Cell: 6.206 8.151 8.151 Å, 120.00 90.00 90.00°
Sites, in units of the cell vectors:
Y1 0.250 0.751 0.751
Y2 0.750 0.000 0.751
Y3 0.500 0.333 0.667
Rh1 0.750 0.601 0.601
Y4 0.000 0.667 0.333
Y5 0.000 0.333 0.667
Rh2 0.250 0.000 0.601
Y6 0.750 0.249 0.249
Rh3 0.750 0.000 0.399
Rh4 0.250 0.399 0.399
Y7 0.500 0.667 0.333
Rh5 0.250 0.601 0.000
Y8 0.250 0.249 0.000
Y9 0.250 0.000 0.249
Y10 0.750 0.751 0.000
Rh6 0.750 0.399 0.000

---

No. 15
Material: YRh2
Method: DFT, PBEsol
State: relaxed

Properties
calculated volume	59	Å³/cell
ΔH_f (0 K)	0.181	eV/atom

Cell: 4.361 4.361 4.361 Å, 60.00 60.00 60.00°
Sites, in units of the cell vectors:
Y1 0.000 0.000 0.000
Rh1 0.750 0.750 0.750
Rh2 0.250 0.250 0.250

---

No. 16
Material: YRh2
Method: DFT, PBEsol
State: relaxed

Properties
calculated volume	103	Å³/cell
ΔH_f (0 K)	-0.729	eV/atom

Cell: 5.257 5.257 5.257 Å, 60.00 60.00 60.00°
Sites, in units of the cell vectors:
Rh1 0.125 0.125 0.625
Rh2 0.125 0.125 0.125
Rh3 0.625 0.125 0.125
Y1 0.500 0.500 0.500
Rh4 0.125 0.625 0.125
Y2 0.750 0.750 0.750

---

No. 17
Material: Y5Rh3
Method: DFT, PBEsol
State: relaxed

Properties
relative energy among the computed polymorphs	0.0	kJ/mol of formula units
calculated volume	726	Å³/cell
ΔH_f (0 K)	-0.689	eV/atom

Cell: 6.248 10.776 10.776 Å, 90.00 90.00 90.00°
Sites, in units of the cell vectors:
Y1 0.000 0.500 0.500
Rh1 0.750 0.654 0.654
Y2 0.121 0.411 0.209
Rh2 0.127 0.000 0.500
Y3 0.879 0.209 0.589
Y4 0.621 0.291 0.089
Y5 0.879 0.911 0.709
Rh3 0.250 0.654 0.346
Rh4 0.250 0.846 0.846
Y6 0.121 0.709 0.089
Rh5 0.250 0.154 0.154
Y7 0.500 0.500 0.500
Y8 0.000 0.000 0.000
Y9 0.879 0.089 0.291
Y10 0.379 0.911 0.291
Rh6 0.373 0.500 0.000
Y11 0.121 0.589 0.791
Y12 0.621 0.411 0.791
Rh7 0.250 0.346 0.654
Y13 0.621 0.589 0.209
Y14 0.379 0.209 0.411
Rh8 0.750 0.346 0.346
Y15 0.500 0.000 0.000
Y16 0.121 0.291 0.911
Y17 0.379 0.089 0.709
Y18 0.621 0.709 0.911
Y19 0.879 0.791 0.411
Rh9 0.627 0.000 0.500
Y20 0.379 0.791 0.589
Rh10 0.750 0.846 0.154
Rh11 0.873 0.500 0.000
Rh12 0.750 0.154 0.846

---

No. 18
Material: YRh3
Method: DFT, PBEsol
State: relaxed

Properties
calculated volume	63	Å³/cell
ΔH_f (0 K)	-0.322	eV/atom

Cell: 2.944 4.716 4.716 Å, 106.37 90.00 90.00°
Sites, in units of the cell vectors:
Rh1 0.500 0.000 0.500
Y1 0.000 0.500 0.500
Rh2 0.000 0.000 0.000
Rh3 0.500 0.500 0.000

---

No. 19
Material: Y5Rh
Method: DFT, PBEsol
State: relaxed

Properties
calculated volume	174	Å³/cell
ΔH_f (0 K)	0.781	eV/atom

Cell: 5.817 5.884 5.884 Å, 120.00 90.00 90.00°
Sites, in units of the cell vectors:
Y1 0.500 0.500 0.500
Y2 0.500 0.000 0.500
Rh1 0.000 0.000 0.000
Y3 0.000 0.333 0.667
Y4 0.500 0.500 0.000
Y5 0.000 0.667 0.333

---

No. 20
Material: YRh5
Method: DFT, PBEsol
State: relaxed

Properties
calculated volume	98	Å³/cell
ΔH_f (0 K)	-0.262	eV/atom

Cell: 4.263 5.145 5.145 Å, 120.00 90.00 90.00°
Sites, in units of the cell vectors:
Rh1 0.500 0.000 0.500
Rh2 0.000 0.333 0.667
Y1 0.000 0.000 0.000
Rh3 0.500 0.500 0.500
Rh4 0.000 0.667 0.333
Rh5 0.500 0.500 0.000

---

No. 21
Material: YRh
Method: DFT, PBEsol
State: relaxed

Properties
calculated volume	43	Å³/cell
ΔH_f (0 K)	-0.437	eV/atom

Cell: 3.462 3.804 3.804 Å, 120.00 90.00 90.00°
Sites, in units of the cell vectors:
Y1 0.500 0.667 0.333
Rh1 0.000 0.000 0.000

---

No. 22
Material: Y5Rh
Method: DFT, PBEsol
State: relaxed

Properties
calculated volume	164	Å³/cell
ΔH_f (0 K)	0.525	eV/atom

Cell: 6.140 6.140 6.140 Å, 60.00 60.00 60.00°
Sites, in units of the cell vectors:
Y1 0.374 0.877 0.374
Rh1 0.000 0.000 0.000
Y2 0.374 0.374 0.374
Y3 0.374 0.374 0.877
Y4 0.877 0.374 0.374
Y5 0.750 0.750 0.750

---

No. 23
Material: YRh
Method: DFT, PBEsol
State: relaxed

Properties
calculated volume	86	Å³/cell
ΔH_f (0 K)	-0.695	eV/atom

Cell: 4.184 4.184 5.645 Å, 90.00 90.00 120.00°
Sites, in units of the cell vectors:
Rh1 0.000 0.000 0.500
Rh2 0.000 0.000 0.000
Y1 0.667 0.333 0.750
Y2 0.333 0.667 0.250

---

No. 24
Material: YRh3
Method: DFT, PBEsol
State: relaxed

Properties
calculated volume	401	Å³/cell
ΔH_f (0 K)	-0.543	eV/atom

Cell: 5.186 5.186 17.208 Å, 90.00 90.00 120.00°
Sites, in units of the cell vectors:
Rh1 0.833 0.666 0.374
Y1 0.333 0.667 0.458
Rh2 0.833 0.167 0.126
Y2 0.667 0.333 0.542
Rh3 0.000 0.000 0.250
Rh4 0.000 0.000 0.000
Rh5 0.833 0.666 0.126
Rh6 0.334 0.167 0.374
Rh7 0.000 0.000 0.500
Rh8 0.666 0.833 0.626
Rh9 0.333 0.667 0.750
Y3 0.667 0.333 0.958
Y4 0.333 0.667 0.042
Rh10 0.334 0.167 0.126
Y5 0.667 0.333 0.750
Rh11 0.667 0.333 0.250
Rh12 0.167 0.833 0.874
Rh13 0.833 0.167 0.374
Rh14 0.167 0.334 0.874
Y6 0.333 0.667 0.250
Rh15 0.167 0.334 0.626
Rh16 0.000 0.000 0.750
Rh17 0.666 0.833 0.874
Rh18 0.167 0.833 0.626

---

No. 25
Material: Y5Rh
Method: DFT, PBEsol
State: relaxed

Properties
calculated volume	162	Å³/cell
ΔH_f (0 K)	-0.256	eV/atom

Cell: 3.592 6.171 8.169 Å, 109.48 90.00 106.92°
Sites, in units of the cell vectors:
Y1 0.500 0.000 0.000
Y2 0.130 0.261 0.375
Rh1 0.500 0.000 0.500
Y3 0.170 0.339 0.798
Y4 0.830 0.661 0.202
Y5 0.870 0.739 0.625

---

No. 26
Material: Y5Rh3
Method: DFT, PBEsol
State: relaxed

Properties
relative energy among the computed polymorphs	48.8	kJ/mol of formula units
calculated volume	356	Å³/cell
ΔH_f (0 K)	-0.626	eV/atom

Cell: 6.003 8.265 8.265 Å, 82.42 68.71 68.71°
Sites, in units of the cell vectors:
Y1 0.417 0.292 0.873
Y2 0.083 0.127 0.708
Rh1 0.843 0.500 0.815
Y3 0.710 0.873 0.708
Y4 0.917 0.873 0.292
Y5 0.210 0.708 0.873
Rh2 0.250 0.000 0.000
Rh3 0.657 0.185 0.500
Y6 0.290 0.127 0.292
Y7 0.250 0.500 0.500
Y8 0.583 0.708 0.127
Rh4 0.343 0.815 0.500
Y9 0.790 0.292 0.127
Y10 0.750 0.500 0.500
Rh5 0.750 0.000 0.000
Rh6 0.157 0.500 0.185